Entry from Alexandria: BaNiP2Os after structural relaxation (PBE).

Results
The value obtained for the energy relative to the elements is -713 meV per atom. The value obtained for the total magnetic moment is 0.0 μB/f.u.

Cell lengths 6.965, 6.965, 6.965 Å; angles 147.48, 147.48, 46.66 degrees
Sites, in units of the cell vectors:
Ba  0.000  0.000  0.000
Ni  0.250  0.750  0.500
P  0.348  0.348  0.000
P  0.652  0.652  0.000
Os  0.750  0.250  0.500


Entry from Alexandria: BaTlNi2Os after structural relaxation (PBE).

Results
The value obtained for the energy relative to the elements is 947 meV per atom. The value obtained for the total magnetic moment is 0.1 μB/f.u.

Cell lengths 4.752, 4.752, 5.708 Å; angles 90.00, 90.00, 90.00 degrees
Sites, in units of the cell vectors:
Ba  0.000  0.000  0.000
Tl  0.500  0.500  0.000
Ni  0.000  0.500  0.500
Ni  0.500  0.000  0.500
Os  0.000  0.000  0.500


Entry from Alexandria: BaTlNiOs2 after structural relaxation (PBE).

Results
The value obtained for the energy relative to the elements is 3138 meV per atom. The value obtained for the total magnetic moment is 3.7 μB/f.u.

Cell lengths 5.181, 5.181, 6.059 Å; angles 90.00, 90.00, 90.00 degrees
Sites, in units of the cell vectors:
Ba  0.000  0.000  0.000
Tl  0.000  0.000  0.500
Ni  0.500  0.500  0.500
Os  0.000  0.500  0.000
Os  0.500  0.000  0.000


Entry from Alexandria: BaZn2NiOs after structural relaxation (PBE).

Results
The value obtained for the energy relative to the elements is 2310 meV per atom. The value obtained for the total magnetic moment is 3.4 μB/f.u.

Cell lengths 5.787, 5.787, 4.981 Å; angles 90.00, 90.00, 90.00 degrees
Sites, in units of the cell vectors:
Ba  0.000  0.000  0.000
Zn  0.000  0.500  0.000
Zn  0.500  0.000  0.000
Ni  0.000  0.000  0.500
Os  0.500  0.500  0.500


Entry from Alexandria: BaZrNi2Os after structural relaxation (PBE).

Results
The value obtained for the energy relative to the elements is 1365 meV per atom. The value obtained for the total magnetic moment is 2.1 μB/f.u.

Cell lengths 4.681, 4.681, 5.368 Å; angles 90.00, 90.00, 90.00 degrees
Sites, in units of the cell vectors:
Ba  0.000  0.000  0.000
Zr  0.500  0.500  0.000
Ni  0.000  0.500  0.500
Ni  0.500  0.000  0.500
Os  0.000  0.000  0.500


Entry from Alexandria: BaNiP3 after structural relaxation (PBE).

Results
For the energy above the lowest structure with this stoichiometry, the calculation gives 2106 meV/atom. The value obtained for the energy relative to the elements is 2027 meV per atom. The value obtained for the total magnetic moment is 0.0 μB/f.u.

Cell lengths 5.526, 5.526, 5.526 Å; angles 90.00, 90.00, 90.00 degrees
Sites, in units of the cell vectors:
Ba  0.000  0.000  0.000
Ni  0.500  0.500  0.500
P  0.000  0.000  0.500
P  0.000  0.500  0.000
P  0.500  0.000  0.000


Entry from Alexandria: BaNi2P after structural relaxation (PBE).

Results
The value obtained for the energy relative to the elements is -473 meV per atom. The value obtained for the total magnetic moment is 0.0 μB/f.u.

Cell lengths 4.132, 4.937, 4.329 Å; angles 90.00, 90.00, 90.00 degrees
Sites, in units of the cell vectors:
Ba  0.000  0.000  0.000
Ni  0.000  0.500  0.506
Ni  0.500  0.500  0.169
P  0.500  0.500  0.672


Entry from Alexandria: BaNi2P after structural relaxation (PBE).

Results
The value obtained for the energy relative to the elements is 486 meV per atom. The value obtained for the total magnetic moment is 0.0 μB/f.u.

Cell lengths 5.323, 5.323, 5.323 Å; angles 133.88, 133.88, 67.27 degrees
Sites, in units of the cell vectors:
Ba  0.000  0.000  0.000
Ni  0.250  0.750  0.500
Ni  0.500  0.500  0.000
P  0.750  0.250  0.500


Entry from Alexandria: BaNi2P after structural relaxation (PBE).

Results
The value obtained for the energy relative to the elements is 443 meV per atom. The value obtained for the total magnetic moment is 0.0 μB/f.u.

Cell lengths 4.503, 4.503, 3.655 Å; angles 90.00, 90.00, 90.00 degrees
Sites, in units of the cell vectors:
Ba  0.000  0.000  0.000
Ni  0.000  0.500  0.500
Ni  0.500  0.000  0.500
P  0.500  0.500  0.000


Entry from Alexandria: BaNi2P4 after structural relaxation (PBE).

Results
The value obtained for the energy relative to the elements is -656 meV per atom. The value obtained for the total magnetic moment is 0.0 μB/f.u.

Cell lengths 5.479, 5.479, 5.479 Å; angles 115.70, 107.14, 105.77 degrees
Sites, in units of the cell vectors:
Ba  0.000  0.000  0.000
Ni  0.500  0.239  0.739
Ni  0.500  0.761  0.261
P  0.240  0.740  0.500
P  0.247  0.500  0.747
P  0.753  0.500  0.253
P  0.760  0.260  0.500


Entry from Alexandria: BaNi5P2 after structural relaxation (PBE).

Results
The value obtained for the energy relative to the elements is -481 meV per atom. The value obtained for the total magnetic moment is 0.0 μB/f.u.

Cell lengths 6.150, 6.150, 6.150 Å; angles 144.32, 115.97, 75.51 degrees
Sites, in units of the cell vectors:
Ba  0.000  0.000  0.000
Ni  0.141  0.326  0.814
Ni  0.488  0.674  0.814
Ni  0.500  0.000  0.500
Ni  0.512  0.326  0.186
Ni  0.859  0.674  0.186
P  0.273  0.773  0.500
P  0.727  0.227  0.500


Entry from Alexandria: BaNi2P after structural relaxation (PBE).

Results
The value obtained for the energy relative to the elements is -6 meV per atom. The value obtained for the total magnetic moment is 0.0 μB/f.u.

Cell lengths 3.257, 3.257, 6.885 Å; angles 90.00, 90.00, 90.00 degrees
Sites, in units of the cell vectors:
Ba  0.000  0.000  0.000
Ni  0.000  0.000  0.513
Ni  0.500  0.500  0.325
P  0.500  0.500  0.634


Entry from Alexandria: BaNi3P3 after structural relaxation (PBE).

Results
For the energy above the lowest structure with this stoichiometry, the calculation gives 0 meV/atom. The value obtained for the energy relative to the elements is -640 meV per atom. The value obtained for the total magnetic moment is 0.0 μB/f.u.

Cell lengths 6.281, 6.281, 6.281 Å; angles 90.00, 90.00, 90.00 degrees
Sites, in units of the cell vectors:
Ba  0.000  0.000  0.000
Ba  0.500  0.500  0.500
Ni  0.000  0.250  0.500
Ni  0.000  0.750  0.500
Ni  0.250  0.500  0.000
Ni  0.500  0.000  0.250
Ni  0.500  0.000  0.750
Ni  0.750  0.500  0.000
P  0.000  0.500  0.250
P  0.000  0.500  0.750
P  0.250  0.000  0.500
P  0.500  0.250  0.000
P  0.500  0.750  0.000
P  0.750  0.000  0.500


Entry from Alexandria: Ba3NiP after structural relaxation (PBE).

Results
For the energy above the lowest structure with this stoichiometry, the calculation gives 0 meV/atom. The value obtained for the energy relative to the elements is -86 meV per atom. The value obtained for the total magnetic moment is 0.0 μB/f.u.

Cell lengths 5.670, 5.670, 5.670 Å; angles 90.00, 90.00, 90.00 degrees
Sites, in units of the cell vectors:
Ba  0.000  0.000  0.500
Ba  0.000  0.500  0.000
Ba  0.500  0.000  0.000
Ni  0.000  0.000  0.000
P  0.500  0.500  0.500